Here is a geometry-optimized PuCd5Hg8 structure from the Alexandria database. Energies are from PBE.

## Properties
ΔE_f = 4 meV/atom

a b c (Å): 8.9332 8.9332 8.9288
angles (deg): 90.00 90.00 90.00
With the nearest neighbours (Å) after each atom.
Space group I-4 (No. 82)
Symmetry-distinct sites (fractional):
Pu 0.0000 0.0000 0.0000  8 Hg 3.19-3.26
Cd 0.0000 0.5000 0.2500  8 Hg 3.02-3.11
Cd 0.1435 0.7302 0.6421  8 Hg 2.99-3.31
Hg 0.0685 0.8343 0.3186  5 Cd 3.05-3.31, 2 Hg 3.20-3.31, 1 Pu 3.26
Hg 0.0915 0.6564 0.9644  5 Cd 2.99-3.10, 1 Pu 3.19, 2 Hg 3.24-3.31


Here is a geometry-optimized PuCdHg2 structure from the Alexandria database. Energies are from PBE.

## Properties
ΔE_f = -58 meV/atom

a b c (Å): 5.1096 5.1096 3.9576
angles (deg): 90.00 90.00 90.00
With the nearest neighbours (Å) after each atom.
Space group P4/mmm (No. 123)
Symmetry-distinct sites (fractional):
Pu 0.0000 0.0000 0.0000  8 Hg 3.23, 4 Cd 3.61
Cd 0.5000 0.5000 0.0000  8 Hg 3.23, 4 Pu 3.61
Hg 0.0000 0.5000 0.5000  4 Cd 3.23, 4 Pu 3.23, 4 Hg 3.61


Here is a geometry-optimized PuCd4Hg6 structure from the Alexandria database. Energies are from PBE.

## Properties
ΔE_f = -13 meV/atom

a b c (Å): 10.0644 10.0644 3.1320
angles (deg): 90.00 90.00 120.00
With the nearest neighbours (Å) after each atom.
Space group P-6m2 (No. 187)
Symmetry-distinct sites (fractional):
Pu 0.0000 0.0000 0.0000  2 Pu 3.13, 6 Cd 3.39, 6 Hg 3.45
Cd 0.3333 0.6667 0.0000  2 Cd 3.13, 9 Hg 3.15-3.45
Cd 0.3443 0.1722 0.5000  6 Hg 3.04-3.05, 2 Cd 3.13, 2 Pu 3.39
Hg 0.1765 0.3529 0.5000  4 Cd 3.04-3.15, 2 Hg 3.13
Hg 0.5312 0.0625 0.0000  4 Cd 3.05, 2 Hg 3.13


Here is a geometry-optimized Pu2Cd3Hg3 structure from the Alexandria database. Energies are from PBE.

## Properties
ΔE_f = -12 meV/atom

a b c (Å): 8.8115 8.8115 9.1396
angles (deg): 90.00 90.00 120.00
With the nearest neighbours (Å) after each atom.
Space group R32 (No. 155, hexagonal axes)
Symmetry-distinct sites (fractional):
Pu 0.0000 0.0000 0.1975  6 Hg 3.24-3.31, 6 Cd 3.42-3.49, 1 Pu 3.61
Cd 0.0000 0.7577 0.5000  4 Hg 2.99-3.25, 2 Cd 3.35
Hg 0.0000 0.3052 0.0000  4 Cd 2.99-3.25, 2 Hg 3.08, 4 Pu 3.24-3.31


Here is a geometry-optimized Pu2Cd2Hg3 structure from the Alexandria database. Energies are from PBE.

## Properties
ΔE_f = -17 meV/atom

a b c (Å): 9.1771 5.1843 8.2243
angles (deg): 90.00 104.82 90.00
With the nearest neighbours (Å) after each atom.
Space group C2/m (No. 12)
Symmetry-distinct sites (fractional):
Pu 0.1350 0.0000 0.3527  7 Hg 3.19-3.35, 3 Cd 3.50-3.57
Cd 0.0948 0.5000 0.8795  4 Hg 2.91-3.07, 1 Cd 2.95
Hg 0.0000 0.5000 0.5000  2 Cd 3.02, 6 Pu 3.24-3.26
Hg 0.2238 0.0000 0.7737  3 Cd 2.91-3.07, 3 Pu 3.19


Here is a geometry-optimized PuCd6Hg8 structure from the Alexandria database. Energies are from PBE.

## Properties
Energy above the most stable polymorph in this dataset = 0.027 eV per atom
ΔE_f = 53 meV/atom

a b c (Å): 8.0520 8.0520 20.9018
angles (deg): 90.00 90.00 120.00
With the nearest neighbours (Å) after each atom.
Space group R-3 (No. 148, hexagonal axes)
Symmetry-distinct sites (fractional):
Pu 0.0000 0.0000 0.0000  6 Hg 3.25
Cd 0.0438 0.2466 0.3940  4 Hg 2.94-3.19, 3 Cd 3.09-3.18
Hg 0.0000 0.0000 0.2690  6 Cd 3.00-3.19
Hg 0.0049 0.7628 0.1251  2 Cd 2.94-3.10, 1 Hg 2.96, 1 Pu 3.25


Here is a geometry-optimized PuCdHg2 structure from the Alexandria database. Energies are from PBE.

## Properties
ΔE_f = -130 meV/atom

a b c (Å): 5.1256 5.1256 12.5094
angles (deg): 90.00 90.00 120.00
With the nearest neighbours (Å) after each atom.
Space group R-3m (No. 166, hexagonal axes)
Symmetry-distinct sites (fractional):
Pu 0.0000 0.0000 0.0000  8 Hg 3.13-3.14
Cd 0.0000 0.0000 0.5000  8 Hg 3.13-3.14
Hg 0.0000 0.0000 0.2501  4 Cd 3.13-3.14, 4 Pu 3.13-3.14


Here is a geometry-optimized PuCd2Hg structure from the Alexandria database. Energies are from PBE.

## Properties
Energy above the most stable polymorph in this dataset = 0.050 eV per atom
ΔE_f = -31 meV/atom

a b c (Å): 3.1921 3.1921 9.5011
angles (deg): 90.00 90.00 90.00
With the nearest neighbours (Å) after each atom.
Space group P4/mmm (No. 123)
Symmetry-distinct sites (fractional):
Pu 0.0000 0.0000 0.0000  4 Pu 3.19, 8 Cd 3.34
Cd 0.5000 0.5000 0.2596  4 Cd 3.19, 4 Hg 3.21, 4 Pu 3.34
Hg 0.0000 0.0000 0.5000  4 Hg 3.19, 8 Cd 3.21


Here is a geometry-optimized PuCdHg structure from the Alexandria database. Energies are from PBE.

## Properties
ΔE_f = -64 meV/atom

a b c (Å): 4.3810 14.0563 4.8210
angles (deg): 90.00 90.00 90.00
With the nearest neighbours (Å) after each atom.
Space group Cmcm (No. 63)
Symmetry-distinct sites (fractional):
Pu 0.0000 0.0681 0.2500  2 Pu 3.08, 6 Hg 3.26-3.30, 2 Cd 3.37
Cd 0.0000 0.2495 0.7500  4 Hg 3.00-3.17, 4 Cd 3.26
Hg 0.0000 0.3961 0.2500  4 Cd 3.00-3.17, 6 Pu 3.26-3.30


Here is a geometry-optimized PuCd2Hg8 structure from the Alexandria database. Energies are from PBE.

## Properties
Energy above the most stable polymorph in this dataset = 0.043 eV per atom
ΔE_f = 4 meV/atom

a b c (Å): 9.0085 15.6202 4.4827
angles (deg): 90.00 105.24 90.00
With the nearest neighbours (Å) after each atom.
Space group C2/m (No. 12)
Symmetry-distinct sites (fractional):
Pu 0.0000 0.0000 0.0000  12 Hg 3.24-3.36
Cd 0.0000 0.3333 0.5000  6 Hg 2.94-3.08
Hg 0.0000 0.2116 0.0000  2 Cd 2.94, 4 Hg 3.19-3.21
Hg 0.1278 0.5000 0.8364  6 Hg 3.04-3.36, 2 Cd 3.08, 1 Pu 3.24
Hg 0.1978 0.1156 0.6067  1 Cd 2.99, 3 Hg 3.15-3.21, 1 Pu 3.35


Here is a geometry-optimized PuCd2Hg structure from the Alexandria database. Energies are from PBE.

## Properties
Energy above the most stable polymorph in this dataset = 0.117 eV per atom
ΔE_f = 37 meV/atom

a b c (Å): 3.2371 3.2371 32.4363
angles (deg): 90.00 90.00 120.00
With the nearest neighbours (Å) after each atom.
Space group R-3m (No. 166, hexagonal axes)
Symmetry-distinct sites (fractional):
Pu 0.0000 0.0000 0.0000  6 Pu 3.24, 6 Cd 3.36
Cd 0.0000 0.0000 0.2472  3 Hg 3.21, 6 Cd 3.24, 3 Pu 3.36
Hg 0.0000 0.0000 0.5000  6 Cd 3.21, 6 Hg 3.24


Here is a geometry-optimized PuCd2Hg4 structure from the Alexandria database. Energies are from PBE.

## Properties
ΔE_f = -73 meV/atom

a b c (Å): 5.0816 5.0816 24.3909
angles (deg): 90.00 90.00 120.00
With the nearest neighbours (Å) after each atom.
Space group R-3m (No. 166, hexagonal axes)
Symmetry-distinct sites (fractional):
Pu 0.0000 0.0000 0.0000  8 Hg 3.24-3.25, 6 Cd 3.49
Cd 0.0000 0.0000 0.2555  8 Hg 2.98-3.27
Hg 0.0000 0.0000 0.1332  4 Cd 2.98-3.23, 1 Pu 3.25
Hg 0.0000 0.0000 0.3895  4 Cd 2.98-3.27, 3 Pu 3.24